! Mn3AlH (GGA-PBE, relaxed); values from VASP
! * E: -6.31 eV per atom
! * magnetic moment: 8.17 Bohr magnetons per cell
! * space group: Cmcm
&SYSTEM
  ibrav = 0, nat = 10, ntyp = 3
/
ATOMIC_SPECIES
Mn 54.94 Mn.upf
Al 26.98 Al.upf
H 1.01 H.upf
CELL_PARAMETERS angstrom
2.1563 -6.4280 0.0000
2.1563 6.4280 0.0000
0.0000 0.0000 4.7453
ATOMIC_POSITIONS angstrom
Mn 0.0000 0.0000 0.0000
Mn 0.0000 0.0000 2.3726
Mn 1.0916 1.9753 3.5590
Mn 1.0916 -1.9753 1.1863
Mn 3.2210 1.9753 3.5590
Mn 3.2210 -1.9753 1.1863
Al 2.1563 4.2424 3.5590
Al 2.1563 -4.2424 1.1863
H 2.1563 0.5899 3.5590
H 2.1563 -0.5899 1.1863


! Ac5Pd5Rh2 (GGA-PBE, relaxed); values from VASP
! * E: -5.83 eV per atom
! * magnetic moment: 0.00 Bohr magnetons per cell
! * space group: C2/m
! * formation energy from the elements: -730 meV/atom
&SYSTEM
  ibrav = 0, nat = 12, ntyp = 3
/
ATOMIC_SPECIES
Ac 227.00 Ac.upf
Pd 106.42 Pd.upf
Rh 102.91 Rh.upf
CELL_PARAMETERS angstrom
8.0321 -2.1196 0.0000
8.0321 2.1196 0.0000
-7.6773 0.0000 9.1050
ATOMIC_POSITIONS angstrom
Ac 0.0000 0.0000 0.0000
Ac -1.4556 0.0000 3.7781
Ac -3.0155 0.0000 7.4966
Ac 11.4025 0.0000 1.6084
Ac 9.8426 0.0000 5.3269
Pd 1.7742 0.0000 3.0575
Pd 5.6457 0.0000 1.3249
Pd 4.1935 0.0000 4.5525
Pd 2.7413 0.0000 7.7801
Pd 6.6128 0.0000 6.0475
Rh 0.1547 0.0000 6.8405
Rh 8.2323 0.0000 2.2646


! LaYSc2 (GGA-PBE, relaxed); values from VASP
! * E: -5.94 eV per atom
! * energy relative to the lowest polymorph listed for this composition: 22 meV/atom
! * magnetic moment: 0.00 Bohr magnetons per cell
! * space group: P4mm
! * formation energy from the elements: 73 meV/atom
&SYSTEM
  ibrav = 0, nat = 4, ntyp = 3
/
ATOMIC_SPECIES
La 138.91 La.upf
Y 88.91 Y.upf
Sc 44.96 Sc.upf
CELL_PARAMETERS angstrom
3.8405 0.0000 0.0000
0.0000 3.8405 0.0000
0.0000 0.0000 8.1211
ATOMIC_POSITIONS angstrom
La 0.0000 0.0000 0.0000
Y 1.9202 1.9202 5.6394
Sc 0.0000 0.0000 3.6919
Sc 1.9202 1.9202 2.1402


! CrTc2Ru (GGA-PBE, relaxed); values from VASP
! * E: -9.79 eV per atom
! * energy relative to the lowest polymorph listed for this composition: 13 meV/atom
! * magnetic moment: 0.01 Bohr magnetons per cell
! * space group: I4/mmm
! * formation energy from the elements: 119 meV/atom
&SYSTEM
  ibrav = 0, nat = 4, ntyp = 3
/
ATOMIC_SPECIES
Cr 52.00 Cr.upf
Tc 98.00 Tc.upf
Ru 101.07 Ru.upf
CELL_PARAMETERS angstrom
-1.8956 1.8956 3.8450
1.8956 -1.8956 3.8450
1.8956 1.8956 -3.8450
ATOMIC_POSITIONS angstrom
Cr 0.0000 0.0000 0.0000
Tc 1.8956 0.0000 1.9225
Tc 0.0000 1.8956 1.9225
Ru 0.0000 0.0000 3.8450


! AlCu2Pt6 (GGA-PBE, relaxed); values from VASP
! * E: -5.49 eV per atom
! * energy relative to the lowest polymorph listed for this composition: 258 meV/atom
! * magnetic moment: 0.00 Bohr magnetons per cell
! * space group: C2/m
! * formation energy from the elements: -135 meV/atom
&SYSTEM
  ibrav = 0, nat = 9, ntyp = 3
/
ATOMIC_SPECIES
Al 26.98 Al.upf
Cu 63.55 Cu.upf
Pt 195.08 Pt.upf
CELL_PARAMETERS angstrom
6.4657 -2.9163 0.0000
6.4657 2.9163 0.0000
-1.3003 0.0000 3.9048
ATOMIC_POSITIONS angstrom
Al 0.0000 0.0000 0.0000
Cu 3.8804 0.0000 1.3009
Cu 7.7507 0.0000 2.6039
Pt 3.2361 1.4619 3.2556
Pt 5.8156 1.4776 1.9524
Pt 8.3950 1.4619 0.6492
Pt 3.2361 -1.4619 3.2556
Pt 5.8156 -1.4776 1.9524
Pt 8.3950 -1.4619 0.6492


! BaCaHg2 (GGA-PBE, relaxed); values from VASP
! * E: -1.55 eV per atom
! * magnetic moment: 0.00 Bohr magnetons per cell
! * space group: C2/m
! * formation energy from the elements: -422 meV/atom
&SYSTEM
  ibrav = 0, nat = 4, ntyp = 3
/
ATOMIC_SPECIES
Ba 137.33 Ba.upf
Ca 40.08 Ca.upf
Hg 200.59 Hg.upf
CELL_PARAMETERS angstrom
4.2456 -2.4276 0.0000
4.2456 2.4276 0.0000
-2.7781 0.0000 7.2046
ATOMIC_POSITIONS angstrom
Ba 0.0000 0.0000 0.0000
Ca 2.8565 0.0000 3.6023
Hg 0.0381 0.0000 5.0248
Hg 5.6750 0.0000 2.1798


! ScIn2B2Rh5 (GGA-PBE, relaxed); values from VASP
! * E: -6.65 eV per atom
! * magnetic moment: 0.00 Bohr magnetons per cell
! * space group: P4/mbm
! * formation energy from the elements: -457 meV/atom
&SYSTEM
  ibrav = 0, nat = 20, ntyp = 4
/
ATOMIC_SPECIES
Sc 44.96 Sc.upf
In 114.82 In.upf
B 10.81 B.upf
Rh 102.91 Rh.upf
CELL_PARAMETERS angstrom
9.6385 0.0000 0.0000
0.0000 9.6385 0.0000
0.0000 0.0000 3.0685
ATOMIC_POSITIONS angstrom
Sc 0.0000 0.0000 0.0000
Sc 4.8192 4.8192 0.0000
In 1.7232 3.0960 0.0000
In 3.0960 7.9153 0.0000
In 6.5425 1.7232 0.0000
In 7.9153 6.5425 0.0000
B 1.1634 5.9826 0.0000
B 3.6559 1.1634 0.0000
B 5.9826 8.4751 0.0000
B 8.4751 3.6559 0.0000
Rh 0.0000 4.8192 1.5342
Rh 0.6808 7.4866 1.5342
Rh 2.1519 0.6808 1.5342
Rh 2.6674 5.5000 1.5342
Rh 4.1385 2.6674 1.5342
Rh 4.8192 0.0000 1.5342
Rh 5.5000 6.9711 1.5342
Rh 6.9711 4.1385 1.5342
Rh 7.4866 8.9577 1.5342
Rh 8.9577 2.1519 1.5342


! La3Nd2Sm6Mg (GGA-PBE, relaxed); values from VASP
! * E: -4.50 eV per atom
! * magnetic moment: 0.00 Bohr magnetons per cell
! * space group: C2/m
! * formation energy from the elements: 20 meV/atom
&SYSTEM
  ibrav = 0, nat = 12, ntyp = 4
/
ATOMIC_SPECIES
La 138.91 La.upf
Nd 144.24 Nd.upf
Sm 150.36 Sm.upf
Mg 24.30 Mg.upf
CELL_PARAMETERS angstrom
3.1426 -5.4484 0.0000
3.1426 5.4484 0.0000
-2.1152 0.0000 11.8800
ATOMIC_POSITIONS angstrom
La 0.0000 0.0000 0.0000
La 3.1426 1.8285 0.0000
La 3.1426 -1.8285 0.0000
Nd 2.0850 3.6318 5.9400
Nd 2.0850 -3.6318 5.9400
Sm 1.0569 1.8004 3.0181
Sm -0.0009 0.0000 8.8780
Sm 1.0569 -1.8004 3.0181
Sm 3.1131 1.8004 8.8619
Sm 4.1709 0.0000 3.0020
Sm 3.1131 -1.8004 8.8619
Mg 2.0850 0.0000 5.9400


! Tm2PuZr3N6 (GGA-PBE, relaxed); values from VASP
! * E: -9.94 eV per atom
! * magnetic moment: 4.80 Bohr magnetons per cell
! * energy relative to the elements, uncorrected: -1.6987 eV/atom
! * space group: C2/m
&SYSTEM
  ibrav = 0, nat = 12, ntyp = 4
/
ATOMIC_SPECIES
Tm 168.93 Tm.upf
Pu 244.00 Pu.upf
Zr 91.22 Zr.upf
N 14.01 N.upf
CELL_PARAMETERS angstrom
7.2845 -1.6646 0.0000
7.2845 1.6646 0.0000
-1.5896 0.0000 6.4993
ATOMIC_POSITIONS angstrom
Tm 1.9082 0.0000 2.1766
Tm 11.0711 0.0000 4.3227
Pu 7.2845 0.0000 0.0000
Zr 1.1183 0.0000 5.4163
Zr 6.4897 0.0000 3.2497
Zr 11.8610 0.0000 1.0831
N -1.1452 0.0000 4.8139
N 3.3345 0.0000 5.9895
N 4.2262 0.0000 2.6698
N 8.7531 0.0000 3.8296
N 9.6448 0.0000 0.5098
N 14.1245 0.0000 1.6854


! ZnCoN2 (GGA-PBE, relaxed); values from VASP
! * E: -5.97 eV per atom
! * magnetic moment: 0.00 Bohr magnetons per cell
! * energy relative to the elements, uncorrected: 0.2866 eV/atom
! * space group: I-42d
&SYSTEM
  ibrav = 0, nat = 8, ntyp = 3
/
ATOMIC_SPECIES
Zn 65.41 Zn.upf
Co 58.93 Co.upf
N 14.01 N.upf
CELL_PARAMETERS angstrom
-2.2428 2.2428 4.3211
2.2428 -2.2428 4.3211
2.2428 2.2428 -4.3211
ATOMIC_POSITIONS angstrom
Zn 0.0000 0.0000 0.0000
Zn 0.0000 2.2428 2.1606
Co 2.2428 0.0000 2.1606
Co 0.0000 0.0000 4.3211
N 1.1214 -0.9359 3.2408
N 1.3069 1.1214 1.0803
N 1.1214 3.1787 -1.0803
N 0.9359 1.1214 5.4014